Record 1
DFT (PBE-GGA) results for a relaxed La3Y5Tm2 crystal.

**Energy relative to the elements**: 186 meV per atom

Cell: 10.8135 16.4838 9.3137 Å, 90.00 125.29 90.00°
Space group C2/c (No. 15)
Inequivalent atoms, fractional coordinates:
La (0.0000, 0.2330, 0.2500) x4
La (0.1430, 0.1268, 0.0448) x8
Y (0.0000, 0.0266, 0.2500) x4
Y (0.0000, 0.2754, 0.7500) x4
Y (0.0000, 0.4703, 0.7500) x4
Y (0.2377, 0.3873, 0.2299) x8
Tm (0.1494, 0.3831, 0.5432) x8

=====

Record 2
DFT (PBE-GGA) results for a relaxed PmDy3Au2 crystal.

**Energy relative to the elements**: -493 meV per atom
**Offset from the most stable computed form**: 74 meV per atom

Cell: 16.1085 5.2090 8.5498 Å, 90.00 113.79 90.00°
Space group C2/m (No. 12)
Inequivalent atoms, fractional coordinates:
Pm (0.1364, 0.0000, 0.2051) x4
Dy (0.0634, 0.0000, 0.7341) x4
Dy (0.1255, 0.5000, 0.5103) x4
Dy (0.1934, 0.5000, 0.9983) x4
Au (0.9996, 0.5000, 0.1637) x4
Au (0.2175, 0.0000, 0.6252) x4

=====

Record 3
DFT (PBE-GGA) results for a relaxed VCdGa2 crystal.

**Energy relative to the elements**: 374 meV per atom

Cell: 2.7992 2.7992 34.1634 Å, 90.00 90.00 120.00°
Space group R-3m (No. 166, hexagonal axes)
Inequivalent atoms, fractional coordinates:
V (0.0000, 0.0000, 0.0000) x3
Cd (0.0000, 0.0000, 0.5000) x3
Ga (0.0000, 0.0000, 0.0758) x6